Compound: Sr2InRhPb
Source: the Alexandria database
Functional: PBE
Structure: relaxed

- crystal system = tetragonal
- ΔH_f (0 K) (eV/atom) = -0.2691
- total moment (Bohr magnetons per cell) = 0.0
- VASP energy (eV per atom) = -3.701

Lattice parameters (Å, degrees): 5.717 5.717 5.162 90.00 90.00 90.00
Element x y z (fractional)
Sr1 0.000 0.500 0.000
Sr2 0.500 0.000 0.000
In1 0.000 0.000 0.500
Rh1 0.000 0.000 0.000
Pb1 0.500 0.500 0.500